Entry 1:
This record from Alexandria via LeMat-Bulk describes BI2N2 after structural relaxation. The functional is PBE-GGA.

abc: 7.6101 7.6101 2.7368
angles: 90.00 90.00 90.00
Each line ends with the local moment (μB).
Atoms (fractional coordinates):
I 0.0000 0.5000 0.0000  0.03
I 0.5000 0.0000 0.0000  0.03
B 0.0000 0.0000 0.0000  0.00
N 0.5000 0.5000 0.5000  1.93
N 0.0000 0.0000 0.5000  0.00

Values from the calculation:
- Space group: P4/mmm, No. 123
- Volume: 158.5 Å³/cell
- Formation energy without anion corrections: 1.011 eV/atom
- ΔE to the lowest computed polymorph: 0 meV/atom

=====

Entry 2:
This record from Alexandria via LeMat-Bulk describes PrMg2AlHg2 after structural relaxation. The functional is PBE-GGA.

abc: 5.3479 5.3479 6.9254
angles: 112.71 112.71 90.00
Atoms (fractional coordinates):
Pr 0.5000 0.5000 0.0000
Mg 0.2500 0.7500 0.5000
Mg 0.7500 0.2500 0.5000
Al 0.0000 0.0000 0.0000
Hg 0.7809 0.7809 0.5619
Hg 0.2191 0.2191 0.4381

Values from the calculation:
- Space group: I4/mmm, No. 139
- Volume: 165.9 Å³/cell
- Formation energy from the elements: 0.041 eV per atom

=====

Entry 3:
This record from Alexandria via LeMat-Bulk describes Sr2Cd4BiAu3 after structural relaxation. The functional is PBE-GGA.

abc: 4.5544 4.5544 12.7819
angles: 90.00 90.00 90.00
Atoms (fractional coordinates):
Sr 0.5000 0.0000 0.2334
Sr 0.0000 0.5000 0.7666
Cd 0.5000 0.5000 0.0000
Cd 0.0000 0.0000 0.0000
Cd 0.5000 0.0000 0.6491
Cd 0.0000 0.5000 0.3509
Bi 0.5000 0.5000 0.5000
Au 0.0000 0.0000 0.5000
Au 0.5000 0.0000 0.8625
Au 0.0000 0.5000 0.1375

Values from the calculation:
- Space group: P-4m2, No. 115
- Volume: 265.1 Å³/cell
- Formation energy from the elements: -0.415 eV per atom

=====

Entry 4:
This record from Alexandria via LeMat-Bulk describes InCuTe2 after structural relaxation. The functional is PBE-GGA.

abc: 3.2299 3.2299 10.1254
angles: 90.00 90.00 102.46
Atoms (fractional coordinates):
Cu 0.0000 0.0000 0.5071
In 0.5000 0.5000 0.6957
Te 0.0000 0.0000 0.9685
Te 0.5000 0.5000 0.3287

Values from the calculation:
- Space group: Cmm2, No. 35
- Volume: 103.1 Å³/cell
- Formation energy without anion corrections: 0.148 eV/atom